(1)
Below is DyThNiPt after structural relaxation, with properties calculated at the PBE level.

a = 3.767 Å, b = 4.314 Å, c = 5.788 Å
α = 90.00°, β = 108.99°, γ = 90.00°
Sites, in units of the cell vectors:
Dy1 0.142 0.000 0.283
Th1 0.866 0.500 0.731
Ni1 0.408 0.000 0.816
Pt1 0.585 0.500 0.170

Results
* crystal system: orthorhombic
* DFT formation energy: -0.87 eV per atom
* E above lowest polymorph: 0.00 eV per formula unit
* magnetization: 0.0 μB/cell
* density of states at the Fermi level: 0.827 states/eV per atom

***

(2)
Below is DyTlNiPt after structural relaxation, with properties calculated at the PBE level.

a = 4.762 Å, b = 4.762 Å, c = 4.762 Å
α = 60.00°, β = 60.00°, γ = 60.00°
Sites, in units of the cell vectors:
Ni1 0.000 0.000 0.000
Tl1 0.750 0.750 0.750
Pt1 0.500 0.500 0.500
Dy1 0.250 0.250 0.250

Results
* crystal system: cubic
* DFT formation energy: -0.45 eV per atom
* magnetization: 0.0 μB/cell
* density of states at the Fermi level: 0.891 states/eV per atom

***

(3)
Below is Dy2Zn3Ni12Pt after structural relaxation, with properties calculated at the PBE level.

a = 11.979 Å, b = 11.979 Å, c = 11.979 Å
α = 24.52°, β = 24.52°, γ = 24.52°
Sites, in units of the cell vectors:
Dy1 0.641 0.641 0.641
Dy2 0.359 0.359 0.359
Zn1 0.500 0.000 0.000
Zn2 0.000 0.500 0.000
Zn3 0.000 0.000 0.500
Ni1 0.397 0.397 0.870
Ni2 0.893 0.893 0.390
Ni3 0.390 0.893 0.893
Ni4 0.870 0.397 0.397
Ni5 0.893 0.390 0.893
Ni6 0.397 0.870 0.397
Ni7 0.603 0.603 0.130
Ni8 0.107 0.107 0.610
Ni9 0.610 0.107 0.107
Ni10 0.130 0.603 0.603
Ni11 0.107 0.610 0.107
Ni12 0.603 0.130 0.603
Pt1 0.000 0.000 0.000

Results
* crystal system: trigonal
* DFT formation energy: -0.03 eV per atom
* magnetization: 0.0 μB/cell
* density of states at the Fermi level: 1.418 states/eV per atom

***

(4)
Below is DyPuNi after structural relaxation, with properties calculated at the PBE level.

a = 3.337 Å, b = 5.877 Å, c = 7.509 Å
α = 100.25°, β = 90.00°, γ = 106.49°
Site moments in Bohr magnetons follow the coordinates.
Sites, in units of the cell vectors:
Dy1 0.653 0.306 0.141  0.20
Dy2 0.347 0.694 0.859  0.20
Pu1 0.582 0.164 0.674  5.42
Pu2 0.418 0.836 0.326  5.42
Ni1 0.828 0.656 0.559  -0.07
Ni2 0.172 0.344 0.441  -0.07

Results
* crystal system: monoclinic
* DFT formation energy: 0.04 eV per atom
* E above lowest polymorph: 0.33 eV per formula unit
* magnetization: 11.8 μB/cell
* density of states at the Fermi level: 3.112 states/eV per atom

***

What is the DFT formation energy in the first record?
-0.87 eV per atom

***

The highest DFT formation energy belongs to which entry?
DyPuNi

***

Which of these has the lowest density of states at the Fermi level?
DyThNiPt

***

Repeat the third record exactly.
Below is Dy2Zn3Ni12Pt after structural relaxation, with properties calculated at the PBE level.

a = 11.979 Å, b = 11.979 Å, c = 11.979 Å
α = 24.52°, β = 24.52°, γ = 24.52°
Sites, in units of the cell vectors:
Dy1 0.641 0.641 0.641
Dy2 0.359 0.359 0.359
Zn1 0.500 0.000 0.000
Zn2 0.000 0.500 0.000
Zn3 0.000 0.000 0.500
Ni1 0.397 0.397 0.870
Ni2 0.893 0.893 0.390
Ni3 0.390 0.893 0.893
Ni4 0.870 0.397 0.397
Ni5 0.893 0.390 0.893
Ni6 0.397 0.870 0.397
Ni7 0.603 0.603 0.130
Ni8 0.107 0.107 0.610
Ni9 0.610 0.107 0.107
Ni10 0.130 0.603 0.603
Ni11 0.107 0.610 0.107
Ni12 0.603 0.130 0.603
Pt1 0.000 0.000 0.000

Results
* crystal system: trigonal
* DFT formation energy: -0.03 eV per atom
* magnetization: 0.0 μB/cell
* density of states at the Fermi level: 1.418 states/eV per atom